DFT (GGA-PBE) results for a geometry-optimized Tb4TePbC2 structure.

Results
Uncorrected energy: -6.12 eV/atom

a = 3.7426 Å, b = 3.7426 Å, c = 15.2374 Å
α = 90.00°, β = 90.00°, γ = 120.00°
Last column: nearest neighbours and their distance in Å.
Space group P-6m2 (No. 187)
One atom of each set of equivalent atoms:
1 Tb 0.0000 0.0000 0.1500 (multiplicity 2)  3 C 2.54
2 Tb 0.6667 0.3333 0.3254 (multiplicity 2)  3 C 2.54
3 Te 0.6667 0.3333 0.0000 (multiplicity 1)  6 Tb 3.15
4 Pb 0.0000 0.0000 0.5000 (multiplicity 1)  6 Tb 3.43, 6 Pb 3.74
5 C 0.3333 0.6667 0.2377 (multiplicity 2)  6 Tb 2.54

=====

DFT (GGA-PBE) results for a geometry-optimized TbTm3Pb2C2 structure.

Results
Uncorrected energy: -6.01 eV/atom

a = 3.6054 Å, b = 3.6054 Å, c = 15.9631 Å
α = 90.00°, β = 90.00°, γ = 120.00°
Last column: nearest neighbours and their distance in Å.
Space group P3m1 (No. 156)
One atom of each set of equivalent atoms:
1 Tb 0.0000 0.0000 0.0000 (multiplicity 1)  3 C 2.49
2 Tm 0.0000 0.0000 0.3363 (multiplicity 1)  3 C 2.45
3 Tm 0.3333 0.6667 0.4992 (multiplicity 1)  3 C 2.45
4 Tm 0.3333 0.6667 0.8339 (multiplicity 1)  3 C 2.45
5 Pb 0.0000 0.0000 0.6665 (multiplicity 1)  6 Tm 3.39, 6 Pb 3.61
6 Pb 0.3333 0.6667 0.1704 (multiplicity 1)  3 Tm 3.37, 3 Tb 3.43, 6 Pb 3.61
7 C 0.6667 0.3333 0.4178 (multiplicity 1)  6 Tm 2.45
8 C 0.6667 0.3333 0.9148 (multiplicity 1)  3 Tm 2.45, 3 Tb 2.49

=====

DFT (GGA-PBE) results for a geometry-optimized TbYPbC structure.

Results
Uncorrected energy: -6.49 eV/atom

a = 3.6497 Å, b = 3.6497 Å, c = 16.1921 Å
α = 90.00°, β = 90.00°, γ = 120.00°
Last column: nearest neighbours and their distance in Å.
Space group P-6m2 (No. 187)
One atom of each set of equivalent atoms:
1 Tb 0.0000 0.0000 0.1673 (multiplicity 2)  3 C 2.50
2 Y 0.3333 0.6667 0.3328 (multiplicity 2)  3 C 2.50
3 Pb 0.0000 0.0000 0.5000 (multiplicity 1)  6 Y 3.43, 6 Pb 3.65
4 Pb 0.3333 0.6667 0.0000 (multiplicity 1)  6 Tb 3.43, 6 Pb 3.65
5 C 0.6667 0.3333 0.2500 (multiplicity 2)  3 Tb 2.50, 3 Y 2.50